[1]
A relaxed Y12SnIr6 crystal, computed with PBE-GGA.

Properties
Space-group type: Im-3, No. 204
Magnetic moment in μB per formula unit: 0.000
E_tot in eV/atom: -7.73
E_form in eV/atom: -0.635
Density of states at the Fermi level in states/eV/cell: 4.59

```
Y12SnIr6
1.0
-4.980 4.980 4.980
4.980 -4.980 4.980
4.980 4.980 -4.980
Y Sn Ir
12 1 6
Direct
0.102 0.298 0.805
0.195 0.493 0.298
0.195 0.898 0.702
0.298 0.195 0.493
0.298 0.805 0.102
0.493 0.298 0.195
0.507 0.702 0.805
0.702 0.195 0.898
0.702 0.805 0.507
0.805 0.102 0.298
0.805 0.507 0.702
0.898 0.702 0.195
0.000 0.000 0.000
0.124 0.500 0.624
0.376 0.876 0.500
0.500 0.376 0.876
0.500 0.624 0.124
0.624 0.124 0.500
0.876 0.500 0.376
```

---

[2]
A relaxed Y4SnIr2 crystal, computed with PBE-GGA.

Properties
Space-group type: Fddd, No. 70
Magnetic moment in μB per formula unit: 0.000
E_tot in eV/atom: -7.34
E_form in eV/atom: -0.547
Density of states at the Fermi level in states/eV/cell: 11.30

```
Y4SnIr2
1.0
0.000 6.541 6.555
4.578 0.000 6.555
4.578 6.541 0.000
Y Sn Ir
8 2 4
Direct
0.141 0.289 0.291
0.222 0.709 0.711
0.289 0.141 0.778
0.291 0.778 0.141
0.709 0.222 0.859
0.711 0.859 0.222
0.778 0.291 0.289
0.859 0.711 0.709
0.375 0.375 0.375
0.625 0.625 0.625
0.000 0.000 0.000
0.000 0.000 0.500
0.000 0.500 0.000
0.500 0.000 0.000
```

---

[3]
A relaxed Y2Sn2Ir crystal, computed with PBE-GGA.

Properties
Space-group type: P4/mbm, No. 127
Magnetic moment in μB per formula unit: 0.000
E_tot in eV/atom: -6.62
E_form in eV/atom: -0.659
Density of states at the Fermi level in states/eV/cell: 7.98

```
Y2Sn2Ir
1.0
7.084 0.000 0.000
0.000 7.084 0.000
0.000 0.000 4.733
Y Sn Ir
4 4 2
Direct
0.170 0.330 0.000
0.330 0.830 0.000
0.670 0.170 0.000
0.830 0.670 0.000
0.143 0.643 0.500
0.357 0.143 0.500
0.643 0.857 0.500
0.857 0.357 0.500
0.000 0.000 0.500
0.500 0.500 0.500
```

---

[4]
A relaxed Y2SnIr crystal, computed with PBE-GGA.

Properties
Space-group type: P2_1/m, No. 11
Magnetic moment in μB per formula unit: 0.000
E_tot in eV/atom: -7.25
E_form in eV/atom: -0.800
Density of states at the Fermi level in states/eV/cell: 4.52

```
Y2SnIr
1.0
6.231 0.000 0.000
0.000 3.978 0.000
-2.843 0.000 8.122
Y Sn Ir
4 2 2
Direct
0.170 0.250 0.393
0.251 0.750 0.046
0.749 0.250 0.954
0.830 0.750 0.607
0.378 0.750 0.704
0.622 0.250 0.296
0.119 0.250 0.795
0.881 0.750 0.205
```

---

[5]
A relaxed YSnIr crystal, computed with PBE-GGA.

Properties
Space-group type: P-6m2, No. 187
Magnetic moment in μB per formula unit: 0.000
E_tot in eV/atom: -7.11
E_form in eV/atom: -0.667
Density of states at the Fermi level in states/eV/cell: 1.62

```
YSnIr
1.0
4.673 0.000 0.000
-2.337 4.047 0.000
0.000 0.000 3.402
Y Sn Ir
1 1 1
Direct
0.000 0.000 0.000
0.667 0.333 0.500
0.333 0.667 0.500
```

---

[6]
A relaxed YSn2Ir2 crystal, computed with PBE-GGA.

Properties
Space-group type: P2_1/m, No. 11
Magnetic moment in μB per formula unit: 0.000
E_tot in eV/atom: -6.93
E_form in eV/atom: -0.494
Density of states at the Fermi level in states/eV/cell: 5.23

```
YSn2Ir2
1.0
4.661 0.000 0.000
0.000 4.464 0.000
-1.646 0.000 10.568
Y Sn Ir
2 4 4
Direct
0.165 0.250 0.265
0.835 0.750 0.735
0.248 0.750 0.497
0.344 0.250 0.879
0.656 0.750 0.121
0.752 0.250 0.503
0.128 0.750 0.992
0.298 0.250 0.635
0.702 0.750 0.365
0.872 0.250 0.008
```

---

[7]
A relaxed Y2SnIr crystal, computed with PBE-GGA.

Properties
Space-group type: I-42d, No. 122
Magnetic moment in μB per formula unit: 0.000
E_tot in eV/atom: -6.80
E_form in eV/atom: -0.353
Density of states at the Fermi level in states/eV/cell: 7.38

```
Y2SnIr
1.0
-3.997 3.997 3.252
3.997 -3.997 3.252
3.997 3.997 -3.252
Y Sn Ir
4 2 2
Direct
0.077 0.125 0.452
0.375 0.923 0.048
0.673 0.625 0.548
0.875 0.327 0.952
0.250 0.750 0.500
0.500 0.500 0.000
0.000 0.000 0.000
0.750 0.250 0.500
```

---

[8]
A relaxed Y7Sn2Ir2 crystal, computed with PBE-GGA.

Properties
Space-group type: Cmmm, No. 65
Magnetic moment in μB per formula unit: 0.000
E_tot in eV/atom: -7.00
E_form in eV/atom: -0.550
Density of states at the Fermi level in states/eV/cell: 9.00

```
Y7Sn2Ir2
1.0
4.148 -5.438 0.000
4.148 5.438 0.000
0.000 0.000 7.116
Y Sn Ir
7 2 2
Direct
0.000 0.000 0.000
0.000 0.500 0.247
0.000 0.500 0.753
0.500 0.000 0.247
0.500 0.000 0.753
0.500 0.500 0.236
0.500 0.500 0.764
0.182 0.182 0.500
0.818 0.818 0.500
0.284 0.716 0.000
0.716 0.284 0.000
```

---

[9]
A relaxed Y6SnIr2 crystal, computed with PBE-GGA.

Properties
Space-group type: Immm, No. 71
Magnetic moment in μB per formula unit: 0.000
E_tot in eV/atom: -7.40
E_form in eV/atom: -0.672
Density of states at the Fermi level in states/eV/cell: 14.46

```
Y6SnIr2
1.0
-4.750 4.831 5.200
4.750 -4.831 5.200
4.750 4.831 -5.200
Y Sn Ir
12 2 4
Direct
0.033 0.239 0.795
0.182 0.284 0.466
0.182 0.716 0.899
0.330 0.020 0.690
0.330 0.640 0.310
0.444 0.239 0.205
0.556 0.761 0.795
0.670 0.360 0.690
0.670 0.980 0.310
0.818 0.284 0.101
0.818 0.716 0.534
0.967 0.761 0.205
0.000 0.000 0.000
0.500 0.500 0.000
0.128 0.628 0.500
0.335 0.000 0.335
0.665 0.000 0.665
0.872 0.372 0.500
```

---

[10]
A relaxed YSnIr crystal, computed with PBE-GGA.

Properties
Space-group type: I4mm, No. 107
Magnetic moment in μB per formula unit: 0.000
E_tot in eV/atom: -6.96
E_form in eV/atom: -0.519
Density of states at the Fermi level in states/eV/cell: 1.76

```
YSnIr
1.0
-1.670 1.670 5.758
1.670 -1.670 5.758
1.670 1.670 -5.758
Y Sn Ir
1 1 1
Direct
0.000 0.000 0.000
0.293 0.293 0.000
0.658 0.658 0.000
```

---

[11]
A relaxed Y2SnIr crystal, computed with PBE-GGA.

Properties
Space-group type: P4/mmm, No. 123
Magnetic moment in μB per formula unit: 0.000
E_tot in eV/atom: -7.19
E_form in eV/atom: -0.744
Density of states at the Fermi level in states/eV/cell: 2.96

```
Y2SnIr
1.0
3.467 0.000 0.000
0.000 3.467 0.000
0.000 0.000 7.923
Y Sn Ir
2 1 1
Direct
0.000 0.000 0.212
0.000 0.000 0.788
0.500 0.500 0.500
0.500 0.500 0.000
```

---

[12]
A relaxed YSn2Ir2 crystal, computed with PBE-GGA.

Properties
Space-group type: I4/mmm, No. 139
Magnetic moment in μB per formula unit: 0.000
E_tot in eV/atom: -6.88
E_form in eV/atom: -0.443
Density of states at the Fermi level in states/eV/cell: 2.79

```
YSn2Ir2
1.0
-2.170 2.170 5.724
2.170 -2.170 5.724
2.170 2.170 -5.724
Y Sn Ir
1 2 2
Direct
0.000 0.000 0.000
0.250 0.750 0.500
0.750 0.250 0.500
0.391 0.391 0.000
0.609 0.609 0.000
```

---

[13]
A relaxed Y3Sn2Ir crystal, computed with PBE-GGA.

Properties
Space-group type: Pnma, No. 62
Magnetic moment in μB per formula unit: 0.000
E_tot in eV/atom: -6.84
E_form in eV/atom: -0.801
Density of states at the Fermi level in states/eV/cell: 12.61

```
Y3Sn2Ir
1.0
12.366 0.000 0.000
0.000 4.397 0.000
0.000 0.000 11.626
Y Sn Ir
12 8 4
Direct
0.054 0.250 0.130
0.120 0.750 0.546
0.241 0.250 0.791
0.259 0.750 0.291
0.380 0.250 0.046
0.446 0.750 0.630
0.554 0.250 0.370
0.620 0.750 0.954
0.741 0.250 0.709
0.759 0.750 0.209
0.880 0.250 0.454
0.946 0.750 0.870
0.004 0.250 0.692
0.187 0.750 0.000
0.313 0.250 0.500
0.496 0.750 0.192
0.504 0.250 0.808
0.687 0.750 0.500
0.813 0.250 0.000
0.996 0.750 0.308
0.125 0.250 0.370
0.375 0.750 0.870
0.625 0.250 0.130
0.875 0.750 0.630
```

---

[14]
A relaxed YSn2Ir2 crystal, computed with PBE-GGA.

Properties
Space-group type: P4/mbm, No. 127
Magnetic moment in μB per formula unit: 0.000
E_tot in eV/atom: -6.75
E_form in eV/atom: -0.308
Density of states at the Fermi level in states/eV/cell: 9.34

```
YSn2Ir2
1.0
7.521 0.000 0.000
0.000 7.521 0.000
0.000 0.000 3.587
Y Sn Ir
2 4 4
Direct
0.000 0.000 0.000
0.500 0.500 0.000
0.162 0.338 0.500
0.338 0.838 0.500
0.662 0.162 0.500
0.838 0.662 0.500
0.131 0.631 0.000
0.369 0.131 0.000
0.631 0.869 0.000
0.869 0.369 0.000
```

---

[15]
A relaxed YSnIr crystal, computed with PBE-GGA.

Properties
Space-group type: Pnma, No. 62
Magnetic moment in μB per formula unit: 0.000
E_tot in eV/atom: -7.27
E_form in eV/atom: -0.826
Density of states at the Fermi level in states/eV/cell: 6.66

```
YSnIr
1.0
6.996 0.000 0.000
0.000 4.584 0.000
0.000 0.000 8.057
Y Sn Ir
4 4 4
Direct
0.021 0.250 0.188
0.479 0.750 0.688
0.521 0.250 0.312
0.979 0.750 0.812
0.165 0.250 0.572
0.335 0.750 0.072
0.665 0.250 0.928
0.835 0.750 0.428
0.232 0.750 0.396
0.268 0.250 0.896
0.732 0.750 0.104
0.768 0.250 0.604
```

---

[16]
A relaxed Y3Sn3Ir2 crystal, computed with PBE-GGA.

Properties
Space-group type: Pnma, No. 62
Magnetic moment in μB per formula unit: 0.000
E_tot in eV/atom: -6.90
E_form in eV/atom: -0.758
Density of states at the Fermi level in states/eV/cell: 23.19

```
Y3Sn3Ir2
1.0
8.446 0.000 0.000
0.000 15.272 0.000
0.000 0.000 5.832
Y Sn Ir
12 12 8
Direct
0.032 0.113 0.110
0.032 0.387 0.110
0.172 0.250 0.640
0.328 0.750 0.140
0.468 0.613 0.610
0.468 0.887 0.610
0.532 0.113 0.390
0.532 0.387 0.390
0.672 0.250 0.860
0.828 0.750 0.360
0.968 0.613 0.890
0.968 0.887 0.890
0.179 0.750 0.630
0.190 0.034 0.611
0.190 0.466 0.611
0.310 0.534 0.111
0.310 0.966 0.111
0.321 0.250 0.130
0.679 0.750 0.870
0.690 0.034 0.889
0.690 0.466 0.889
0.810 0.534 0.389
0.810 0.966 0.389
0.821 0.250 0.370
0.088 0.611 0.369
0.088 0.889 0.369
0.412 0.111 0.869
0.412 0.389 0.869
0.588 0.611 0.131
0.588 0.889 0.131
0.912 0.111 0.631
0.912 0.389 0.631
```

---

[17]
A relaxed Y2ZrSnIr crystal, computed with PBE-GGA.

Properties
Space-group type: P4/mmm, No. 123
Magnetic moment in μB per formula unit: 2.705
E_tot in eV/atom: -6.17
E_form in eV/atom: 0.702
Density of states at the Fermi level in states/eV/cell: 5.69

```
Y2ZrSnIr
1.0
5.610 0.000 0.000
0.000 5.610 0.000
0.000 0.000 4.836
Y Zr Sn Ir
2 1 1 1
Direct
0.000 0.500 0.000
0.500 0.000 0.000
0.000 0.000 0.500
0.500 0.500 0.000
0.500 0.500 0.500
```

---

[18]
A relaxed ZnSnIr2 crystal, computed with PBE-GGA.

Properties
Space-group type: P4/mmm, No. 123
Magnetic moment in μB per formula unit: 0.000
E_tot in eV/atom: -5.88
E_form in eV/atom: -0.127
Density of states at the Fermi level in states/eV/cell: 1.21

```
ZnSnIr2
1.0
4.201 0.000 0.000
0.000 4.201 0.000
0.000 0.000 3.575
Zn Sn Ir
1 1 2
Direct
0.000 0.000 0.000
0.500 0.500 0.000
0.000 0.500 0.500
0.500 0.000 0.500
```

---

[19]
A relaxed ZnSnIr crystal, computed with PBE-GGA.

Properties
Space-group type: I4mm, No. 107
Magnetic moment in μB per formula unit: 0.185
E_tot in eV/atom: -4.07
E_form in eV/atom: 0.642
Density of states at the Fermi level in states/eV/cell: 3.26

```
ZnSnIr
1.0
-1.378 1.378 8.061
1.378 -1.378 8.061
1.378 1.378 -8.061
Zn Sn Ir
1 1 1
Direct
0.000 0.000 0.000
0.324 0.324 0.000
0.157 0.157 0.000
```

---

[20]
A relaxed ZnSnIr2 crystal, computed with PBE-GGA.

Properties
Space-group type: I-42d, No. 122
Magnetic moment in μB per formula unit: 0.000
E_tot in eV/atom: -5.49
E_form in eV/atom: 0.258
Density of states at the Fermi level in states/eV/cell: 7.04

```
ZnSnIr2
1.0
-2.038 2.038 8.782
2.038 -2.038 8.782
2.038 2.038 -8.782
Zn Sn Ir
2 2 4
Direct
0.000 0.000 0.000
0.750 0.250 0.500
0.250 0.750 0.500
0.500 0.500 0.000
0.072 0.625 0.947
0.375 0.322 0.447
0.678 0.125 0.053
0.875 0.928 0.553
```

---

[21]
A relaxed Zn2Sn2Ir crystal, computed with PBE-GGA.

Properties
Space-group type: I4/mmm, No. 139
Magnetic moment in μB per formula unit: 0.000
Relative energy among the computed polymorphs in meV per atom: 509
E_tot in eV/atom: -3.17
E_form in eV/atom: 0.712
Density of states at the Fermi level in states/eV/cell: 3.87

```
Zn2Sn2Ir
1.0
-1.997 1.997 6.509
1.997 -1.997 6.509
1.997 1.997 -6.509
Zn Sn Ir
2 2 1
Direct
0.088 0.088 0.000
0.912 0.912 0.000
0.250 0.750 0.500
0.750 0.250 0.500
0.500 0.500 0.000
```

---

[22]
A relaxed ZnSnIr crystal, computed with PBE-GGA.

Properties
Space-group type: R-3m, No. 166
Magnetic moment in μB per formula unit: 0.000
E_tot in eV/atom: -4.87
E_form in eV/atom: -0.159
Density of states at the Fermi level in states/eV/cell: 3.34

```
ZnSnIr
1.0
2.207 1.274 7.014
-2.207 1.274 7.014
0.000 -2.549 7.014
Zn Sn Ir
2 2 2
Direct
0.128 0.128 0.128
0.872 0.872 0.872
0.381 0.381 0.381
0.619 0.619 0.619
0.250 0.250 0.250
0.750 0.750 0.750
```